Entry 1:
# Be2AlCl

Crystalline Be2AlCl at its relaxed geometry (PBE, Alexandria).

Calculated values
Space-group type = Cmmm
Relative energy among the computed polymorphs = 420 meV per atom
ΔE_f (raw) = 1.6 eV per formula unit
Total energy = -2.87 eV/atom
M_tot = 0.00 μB per cell

Cell: 3.1772 3.1772 7.3658 Å, 90.00 90.00 125.20°
Fractional positions:
Be 0.0000 0.0000 0.2436
Be 0.0000 0.0000 0.7564
Al 0.5000 0.5000 0.5000
Cl 0.5000 0.5000 0.0000

Entry 2:
# Ba3Sm2HoSe6

Crystalline Ba3Sm2HoSe6 at its relaxed geometry (PBE, Alexandria).

Calculated values
Space-group type = C2/m
ΔE_f (raw) = -22.7 eV per formula unit
Total energy = -5.28 eV/atom
M_tot = 0.00 μB per cell

Cell: 7.4997 7.4997 7.8058 Å, 99.24 99.24 119.94°
Fractional positions:
Ba 0.0000 0.0000 0.0000
Ba 0.3311 0.6689 0.0000
Ba 0.6689 0.3311 0.0000
Sm 0.1659 0.8341 0.5000
Sm 0.8341 0.1659 0.5000
Ho 0.5000 0.5000 0.5000
Se 0.1018 0.4286 0.2851
Se 0.2459 0.2459 0.7171
Se 0.4286 0.1018 0.2851
Se 0.5714 0.8982 0.7149
Se 0.7541 0.7541 0.2829
Se 0.8982 0.5714 0.7149

Entry 3:
# CdHg6S8

Crystalline CdHg6S8 at its relaxed geometry (PBE, Alexandria).

Calculated values
Space-group type = R-3
ΔE_f (raw) = 1.2 eV per formula unit
Total energy = -2.30 eV/atom
M_tot = 0.00 μB per cell

Cell: 7.2461 7.2461 7.2461 Å, 101.43 101.43 101.43°
Fractional positions:
Cd 0.0000 0.0000 0.0000
Hg 0.1143 0.3041 0.5579
Hg 0.3041 0.5579 0.1143
Hg 0.4421 0.8857 0.6959
Hg 0.5579 0.1143 0.3041
Hg 0.6959 0.4421 0.8857
Hg 0.8857 0.6959 0.4421
S 0.1731 0.6538 0.8015
S 0.1985 0.8269 0.3462
S 0.2648 0.2648 0.2648
S 0.3462 0.1985 0.8269
S 0.6538 0.8015 0.1731
S 0.7352 0.7352 0.7352
S 0.8015 0.1731 0.6538
S 0.8269 0.3462 0.1985

Entry 4:
# Si2HgAu

Crystalline Si2HgAu at its relaxed geometry (PBE, Alexandria).

Calculated values
Space-group type = Immm
ΔE_f (raw) = 1.7 eV per formula unit
Total energy = -3.19 eV/atom
M_tot = 0.00 μB per cell

Cell: 6.1773 6.1773 6.1773 Å, 154.28 130.11 56.96°
Fractional positions:
Si 0.2189 0.2189 0.0000
Si 0.7811 0.7811 0.0000
Hg 0.5000 0.0000 0.5000
Au 0.0000 0.5000 0.5000

Entry 5:
# MgZnSb3

Crystalline MgZnSb3 at its relaxed geometry (PBE, Alexandria).

Calculated values
Space-group type = Pm-3m
Relative energy among the computed polymorphs = 187 meV per atom
ΔE_f (raw) = 3.3 eV per formula unit
Total energy = -2.39 eV/atom
M_tot = 0.00 μB per cell

Cell: 5.3835 5.3835 5.3835 Å, 90.00 90.00 90.00°
Fractional positions:
Mg 0.0000 0.0000 0.0000
Zn 0.5000 0.5000 0.5000
Sb 0.0000 0.0000 0.5000
Sb 0.0000 0.5000 0.0000
Sb 0.5000 0.0000 0.0000

Entry 6:
# TaAs2P

Crystalline TaAs2P at its relaxed geometry (PBE, Alexandria).

Calculated values
Space-group type = C2/m
Calculated formation energy = 0.073 eV per atom
Total energy = -6.57 eV/atom
M_tot = 0.00 μB per cell

Cell: 4.9313 4.9313 4.5411 Å, 93.14 93.14 39.05°
Fractional positions:
Ta 0.0000 0.0000 0.0000
As 0.2825 0.2825 0.7771
As 0.7175 0.7175 0.2229
P 0.5000 0.5000 0.5000

Entry 7:
# PmCoH2

Crystalline PmCoH2 at its relaxed geometry (PBE, Alexandria).

Calculated values
Space-group type = R-3m
Total energy = -4.63 eV/atom
M_tot = 0.00 μB per cell

Cell: 4.4738 4.4738 4.4738 Å, 47.37 47.37 47.37°
Fractional positions:
Pm 0.0000 0.0000 0.0000
Co 0.5000 0.5000 0.5000
H 0.2107 0.2107 0.2107
H 0.7893 0.7893 0.7893

Entry 8:
# NiH2Os2

Crystalline NiH2Os2 at its relaxed geometry (PBE, Alexandria).

Calculated values
Space-group type = P4/mbm
Relative energy among the computed polymorphs = 0 meV per atom
Total energy = -6.61 eV/atom
M_tot = 0.00 μB per cell

Cell: 5.1185 5.1185 3.7362 Å, 90.00 90.00 90.00°
Fractional positions:
Ni 0.0000 0.0000 0.0000
Ni 0.5000 0.5000 0.0000
H 0.1923 0.3077 0.0000
H 0.3077 0.8077 0.0000
H 0.6923 0.1923 0.0000
H 0.8077 0.6923 0.0000
Os 0.1743 0.3257 0.5000
Os 0.3257 0.8257 0.5000
Os 0.6743 0.1743 0.5000
Os 0.8257 0.6743 0.5000

Entry 9:
# TlS2I

Crystalline TlS2I at its relaxed geometry (PBE, Alexandria).

Calculated values
Space-group type = R-3m
Relative energy among the computed polymorphs = 577 meV per atom
ΔE_f (raw) = 2.5 eV per formula unit
Total energy = -2.42 eV/atom
M_tot = 0.00 μB per cell

Cell: 9.0177 9.0177 9.0177 Å, 27.67 27.67 27.67°
Fractional positions:
Tl 0.0000 0.0000 0.0000
S 0.0916 0.0916 0.0916
S 0.9084 0.9084 0.9084
I 0.5000 0.5000 0.5000

Entry 10:
# ErInH

Crystalline ErInH at its relaxed geometry (PBE, Alexandria).

Calculated values
Space-group type = P3m1
Relative energy among the computed polymorphs = 43 meV per atom
Total energy = -4.00 eV/atom
M_tot = 0.00 μB per cell

Cell: 3.5688 3.5688 5.3022 Å, 90.00 90.00 120.00°
Fractional positions:
Er 0.0000 0.0000 0.0000
In 0.3333 0.6667 0.4999
H 0.6667 0.3333 0.9990

Entry 11:
# ErSnPd

Crystalline ErSnPd at its relaxed geometry (PBE, Alexandria).

Calculated values
Space-group type = I4mm
Calculated formation energy = -0.649 eV per atom
Total energy = -5.24 eV/atom
M_tot = 0.00 μB per cell

Cell: 6.0411 6.0411 6.0411 Å, 146.97 146.97 47.42°
Fractional positions:
Er 0.0000 0.0000 0.0000
Sn 0.3010 0.3010 0.0000
Pd 0.6632 0.6632 0.0000

Entry 12:
# CsNaTl2Ir

Crystalline CsNaTl2Ir at its relaxed geometry (PBE, Alexandria).

Calculated values
Space-group type = P4/mmm
Calculated formation energy = 0.037 eV per atom
Total energy = -3.12 eV/atom
M_tot = 0.00 μB per cell

Cell: 5.3423 5.3423 5.8512 Å, 90.00 90.00 90.00°
Fractional positions:
Cs 0.0000 0.0000 0.0000
Na 0.5000 0.5000 0.0000
Tl 0.0000 0.5000 0.5000
Tl 0.5000 0.0000 0.5000
Ir 0.5000 0.5000 0.5000